1.
The following is a PBE calculation of a relaxed Nd2ErTa2N6 crystal, from OQMD via LeMat-Bulk.

The structure in CIF format:
```
data_Nd2ErTa2N6
_cell_length_a 4.005
_cell_length_b 4.005
_cell_length_c 19.425
_cell_angle_alpha 90.00
_cell_angle_beta 90.00
_cell_angle_gamma 90.00
_symmetry_space_group_name_H-M 'I 4/m m m'
_symmetry_Int_Tables_number 139
_symmetry_space_group_name_Hall '-I 4 2'
loop_
_atom_site_label
_atom_site_type_symbol
_atom_site_fract_x
_atom_site_fract_y
_atom_site_fract_z
_atom_site_occupancy
Nd1 Nd 0.000 0.000 0.180 1
Er1 Er 0.000 0.000 0.000 1
Ta1 Ta 0.000 0.000 0.404 1
N1 N 0.000 0.000 0.303 1
N2 N 0.000 0.500 0.079 1
```

**Final energy**: -9.3379 eV per atom
**Calculated volume**: 14.2 Å³ per atom
**Crystal system**: tetragonal



2.
The following is a PBE calculation of a relaxed ZrFeNiB crystal, from OQMD via LeMat-Bulk.

The structure in CIF format:
```
data_ZrFeNiB
_cell_length_a 5.865
_cell_length_b 5.865
_cell_length_c 5.865
_cell_angle_alpha 90.00
_cell_angle_beta 90.00
_cell_angle_gamma 90.00
_symmetry_space_group_name_H-M 'F -4 3 m'
_symmetry_Int_Tables_number 216
_symmetry_space_group_name_Hall 'F -4 2 3'
loop_
_atom_site_label
_atom_site_type_symbol
_atom_site_fract_x
_atom_site_fract_y
_atom_site_fract_z
_atom_site_occupancy
Zr1 Zr 0.000 0.000 0.000 1
Fe1 Fe 0.000 0.000 0.500 1
Ni1 Ni 0.250 0.250 0.750 1
B1 B 0.250 0.250 0.250 1
```

**Polymorph energy (0 for the lowest one)**: 0 meV/atom
**Calculated volume**: 12.6 Å³ per atom
**Crystal system**: cubic



3.
The following is a PBE calculation of a relaxed InIr15 crystal, from OQMD via LeMat-Bulk.

The structure in CIF format:
```
data_InIr15
_cell_length_a 5.463
_cell_length_b 2.750
_cell_length_c 44.331
_cell_angle_alpha 90.00
_cell_angle_beta 90.00
_cell_angle_gamma 90.00
_symmetry_space_group_name_H-M 'P 1 21/m 1'
_symmetry_Int_Tables_number 11
_symmetry_space_group_name_Hall '-P 2yb'
loop_
_atom_site_label
_atom_site_type_symbol
_atom_site_fract_x
_atom_site_fract_y
_atom_site_fract_z
_atom_site_occupancy
In1 In 0.125 0.250 0.162 1
Ir1 Ir 0.123 0.250 0.784 1
Ir2 Ir 0.125 0.250 0.259 1
Ir3 Ir 0.125 0.250 0.347 1
Ir4 Ir 0.125 0.250 0.434 1
Ir5 Ir 0.125 0.250 0.522 1
Ir6 Ir 0.125 0.250 0.609 1
Ir7 Ir 0.126 0.250 0.697 1
Ir8 Ir 0.373 0.750 0.216 1
Ir9 Ir 0.375 0.750 0.391 1
Ir10 Ir 0.375 0.750 0.478 1
Ir11 Ir 0.375 0.750 0.566 1
Ir12 Ir 0.375 0.750 0.653 1
Ir13 Ir 0.375 0.750 0.740 1
Ir14 Ir 0.375 0.750 0.825 1
Ir15 Ir 0.376 0.750 0.303 1
```

**Polymorph energy (0 for the lowest one)**: 24 meV/atom
**Calculated volume**: 20.8 Å³ per atom
**Crystal system**: monoclinic



4.
The following is a PBE calculation of a relaxed PrScAsO crystal, from OQMD via LeMat-Bulk.

The structure in CIF format:
```
data_PrScAsO
_cell_length_a 4.278
_cell_length_b 4.278
_cell_length_c 8.995
_cell_angle_alpha 90.00
_cell_angle_beta 90.00
_cell_angle_gamma 90.00
_symmetry_space_group_name_H-M 'P 4/n m m'
_symmetry_Int_Tables_number 129
loop_
_symmetry_equiv_pos_as_xyz
'x,y,z'
'-x,-y,-z'
'-y+1/2,x,z'
'y+1/2,-x,-z'
'-x+1/2,-y+1/2,z'
'x+1/2,y+1/2,-z'
'y,-x+1/2,z'
'-y,x+1/2,-z'
'x+1/2,-y,-z'
'-x+1/2,y,z'
'-y,-x,-z'
'y,x,z'
'-x,y+1/2,-z'
'x,-y+1/2,z'
'y+1/2,x+1/2,-z'
'-y+1/2,-x+1/2,z'
loop_
_atom_site_label
_atom_site_type_symbol
_atom_site_fract_x
_atom_site_fract_y
_atom_site_fract_z
_atom_site_occupancy
Pr1 Pr 0.250 0.250 0.121 1
Sc1 Sc 0.250 0.750 0.500 1
As1 As 0.250 0.250 0.681 1
O1 O 0.250 0.750 0.000 1
```

**Polymorph energy (0 for the lowest one)**: 7 meV/atom
**Calculated volume**: 20.6 Å³ per atom
**Crystal system**: tetragonal



5.
The following is a PBE calculation of a relaxed Li2ThTe3 crystal, from OQMD via LeMat-Bulk.

The structure in CIF format:
```
data_Li2ThTe3
_cell_length_a 4.421
_cell_length_b 13.829
_cell_length_c 11.702
_cell_angle_alpha 90.00
_cell_angle_beta 90.00
_cell_angle_gamma 90.00
_symmetry_space_group_name_H-M 'C m c m'
_symmetry_Int_Tables_number 63
_symmetry_space_group_name_Hall '-C 2c 2'
loop_
_atom_site_label
_atom_site_type_symbol
_atom_site_fract_x
_atom_site_fract_y
_atom_site_fract_z
_atom_site_occupancy
Li1 Li 0.000 0.015 0.250 1
Li2 Li 0.000 0.254 0.750 1
Th1 Th 0.000 0.500 0.000 1
Te1 Te 0.000 0.144 0.076 1
Te2 Te 0.000 0.402 0.250 1
```

**Final energy**: -4.4868 eV per atom
**Calculated volume**: 29.8 Å³ per atom
**Crystal system**: orthorhombic



6.
The following is a PBE calculation of a relaxed NaAgIr2Se4 crystal, from OQMD via LeMat-Bulk.

The structure in CIF format:
```
data_NaAgIr2Se4
_cell_length_a 6.399
_cell_length_b 6.399
_cell_length_c 9.793
_cell_angle_alpha 90.00
_cell_angle_beta 90.00
_cell_angle_gamma 90.00
_symmetry_space_group_name_H-M 'I -4'
_symmetry_Int_Tables_number 82
_symmetry_space_group_name_Hall 'I -4'
loop_
_atom_site_label
_atom_site_type_symbol
_atom_site_fract_x
_atom_site_fract_y
_atom_site_fract_z
_atom_site_occupancy
Na1 Na 0.000 0.000 0.000 1
Ag1 Ag 0.000 0.500 0.750 1
Ir1 Ir 0.000 0.000 0.500 1
Ir2 Ir 0.000 0.500 0.250 1
Se1 Se 0.200 0.763 0.365 1
```

**Final energy**: -4.5728 eV per atom
**Calculated volume**: 25.1 Å³ per atom
**Crystal system**: tetragonal



7.
The following is a PBE calculation of a relaxed DyPaPO crystal, from OQMD via LeMat-Bulk.

The structure in CIF format:
```
data_DyPaPO
_cell_length_a 4.182
_cell_length_b 4.182
_cell_length_c 9.071
_cell_angle_alpha 90.00
_cell_angle_beta 90.00
_cell_angle_gamma 90.00
_symmetry_space_group_name_H-M 'P 4/n m m'
_symmetry_Int_Tables_number 129
loop_
_symmetry_equiv_pos_as_xyz
'x,y,z'
'-x,-y,-z'
'-y+1/2,x,z'
'y+1/2,-x,-z'
'-x+1/2,-y+1/2,z'
'x+1/2,y+1/2,-z'
'y,-x+1/2,z'
'-y,x+1/2,-z'
'x+1/2,-y,-z'
'-x+1/2,y,z'
'-y,-x,-z'
'y,x,z'
'-x,y+1/2,-z'
'x,-y+1/2,z'
'y+1/2,x+1/2,-z'
'-y+1/2,-x+1/2,z'
loop_
_atom_site_label
_atom_site_type_symbol
_atom_site_fract_x
_atom_site_fract_y
_atom_site_fract_z
_atom_site_occupancy
Dy1 Dy 0.250 0.250 0.105 1
Pa1 Pa 0.250 0.750 0.500 1
P1 P 0.250 0.250 0.716 1
O1 O 0.250 0.750 0.000 1
```

**Polymorph energy (0 for the lowest one)**: 71 meV/atom
**Calculated volume**: 19.8 Å³ per atom
**Crystal system**: tetragonal



8.
The following is a PBE calculation of a relaxed MgZnNiB crystal, from OQMD via LeMat-Bulk.

The structure in CIF format:
```
data_MgZnNiB
_cell_length_a 5.723
_cell_length_b 5.723
_cell_length_c 5.723
_cell_angle_alpha 90.00
_cell_angle_beta 90.00
_cell_angle_gamma 90.00
_symmetry_space_group_name_H-M 'F -4 3 m'
_symmetry_Int_Tables_number 216
_symmetry_space_group_name_Hall 'F -4 2 3'
loop_
_atom_site_label
_atom_site_type_symbol
_atom_site_fract_x
_atom_site_fract_y
_atom_site_fract_z
_atom_site_occupancy
Mg1 Mg 0.000 0.000 0.000 1
Zn1 Zn 0.250 0.250 0.750 1
Ni1 Ni 0.000 0.000 0.500 1
B1 B 0.250 0.250 0.250 1
```

**Polymorph energy (0 for the lowest one)**: 0 meV/atom
**Calculated volume**: 11.7 Å³ per atom
**Crystal system**: cubic



9.
The following is a PBE calculation of a relaxed YFeSbPt crystal, from OQMD via LeMat-Bulk.

The structure in CIF format:
```
data_YFeSbPt
_cell_length_a 6.654
_cell_length_b 6.654
_cell_length_c 6.654
_cell_angle_alpha 90.00
_cell_angle_beta 90.00
_cell_angle_gamma 90.00
_symmetry_space_group_name_H-M 'F -4 3 m'
_symmetry_Int_Tables_number 216
_symmetry_space_group_name_Hall 'F -4 2 3'
loop_
_atom_site_label
_atom_site_type_symbol
_atom_site_fract_x
_atom_site_fract_y
_atom_site_fract_z
_atom_site_occupancy
Y1 Y 0.000 0.000 0.000 1
Fe1 Fe 0.250 0.250 0.750 1
Sb1 Sb 0.000 0.000 0.500 1
Pt1 Pt 0.250 0.250 0.250 1
```

**Polymorph energy (0 for the lowest one)**: 0 meV/atom
**Calculated volume**: 18.4 Å³ per atom
**Crystal system**: cubic



10.
The following is a PBE calculation of a relaxed Tl2AgAuF6 crystal, from OQMD via LeMat-Bulk.

The structure in CIF format:
```
data_Tl2AgAuF6
_cell_length_a 8.635
_cell_length_b 8.635
_cell_length_c 8.635
_cell_angle_alpha 90.00
_cell_angle_beta 90.00
_cell_angle_gamma 90.00
_symmetry_space_group_name_H-M 'F m -3 m'
_symmetry_Int_Tables_number 225
_symmetry_space_group_name_Hall '-F 4 2 3'
loop_
_atom_site_label
_atom_site_type_symbol
_atom_site_fract_x
_atom_site_fract_y
_atom_site_fract_z
_atom_site_occupancy
Tl1 Tl 0.250 0.250 0.250 1
Ag1 Ag 0.000 0.000 0.000 1
Au1 Au 0.000 0.000 0.500 1
F1 F 0.000 0.000 0.250 1
```

**Final energy**: -3.5194 eV per atom
**Calculated volume**: 16.1 Å³ per atom
**Crystal system**: cubic



11.
The following is a PBE calculation of a relaxed NbAlHg crystal, from OQMD via LeMat-Bulk.

The structure in CIF format:
```
data_NbAlHg
_cell_length_a 6.252
_cell_length_b 6.252
_cell_length_c 6.252
_cell_angle_alpha 90.00
_cell_angle_beta 90.00
_cell_angle_gamma 90.00
_symmetry_space_group_name_H-M 'F -4 3 m'
_symmetry_Int_Tables_number 216
_symmetry_space_group_name_Hall 'F -4 2 3'
loop_
_atom_site_label
_atom_site_type_symbol
_atom_site_fract_x
_atom_site_fract_y
_atom_site_fract_z
_atom_site_occupancy
Nb1 Nb 0.000 0.000 0.000 1
Al1 Al 0.250 0.250 0.750 1
Hg1 Hg 0.000 0.000 0.500 1
```

**Final energy**: -4.2216 eV per atom
**Calculated volume**: 20.4 Å³ per atom
**Crystal system**: cubic



12.
The following is a PBE calculation of a relaxed RbBiAu crystal, from OQMD via LeMat-Bulk.

The structure in CIF format:
```
data_RbBiAu
_cell_length_a 7.764
_cell_length_b 7.764
_cell_length_c 7.764
_cell_angle_alpha 90.00
_cell_angle_beta 90.00
_cell_angle_gamma 90.00
_symmetry_space_group_name_H-M 'F -4 3 m'
_symmetry_Int_Tables_number 216
_symmetry_space_group_name_Hall 'F -4 2 3'
loop_
_atom_site_label
_atom_site_type_symbol
_atom_site_fract_x
_atom_site_fract_y
_atom_site_fract_z
_atom_site_occupancy
Rb1 Rb 0.000 0.000 0.000 1
Bi1 Bi 0.250 0.250 0.250 1
Au1 Au 0.250 0.250 0.750 1
```

**Polymorph energy (0 for the lowest one)**: 618 meV/atom
**Calculated volume**: 39.0 Å³ per atom
**Crystal system**: cubic



> The highest calculated volume belongs to which entry?

RbBiAu



> Which of these has the highest calculated volume?

RbBiAu



> Which formula does entry 5 have?

Li2ThTe3



> Look up the calculated volume of the fifth one.

29.8 Å³ per atom